Record 1
VASP calculation (meta-GGA SCAN) on a crystal of TlCrMo relaxed with PBEsol.

Calculated values
N(E_F) in states/eV/cell: 4.09
E_form in kJ/mol of formula units: 248.7
Energy above the most stable polymorph in this dataset in eV per atom: 0.203
Volume in Å³ per cell: 55
E_tot in eV per atom: -41.0168

Geometry as POSCAR:
```
TlCrMo
1.0
4.263 0.000 0.000
2.131 3.692 0.000
2.131 1.231 3.481
Cr Tl Mo
1 1 1
direct
0.250 0.250 0.250 Cr
0.500 0.500 0.500 Tl
0.000 0.000 0.000 Mo
```

Record 2
VASP calculation (meta-GGA SCAN) on a crystal of TlCr2Mo relaxed with PBEsol.

Calculated values
N(E_F) in states/eV/cell: 3.88
E_form in kJ/mol of formula units: 236.2
Energy above the most stable polymorph in this dataset in eV per atom: 0.283
Volume in Å³ per cell: 58
E_tot in eV per atom: -35.3911

Geometry as POSCAR:
```
TlCr2Mo
1.0
-2.496 -0.794 1.571
-1.923 -1.282 -3.703
3.839 -2.991 1.617
Cr Mo Tl
2 1 1
direct
0.731 0.231 0.462 Cr
0.026 0.026 0.052 Cr
0.482 0.482 0.964 Mo
0.261 0.761 0.521 Tl
```

Record 3
VASP calculation (meta-GGA SCAN) on a crystal of TlCrMo relaxed with PBEsol.

Calculated values
N(E_F) in states/eV/cell: 2.18
E_form in kJ/mol of formula units: 193.1
Energy above the most stable polymorph in this dataset in eV per atom: 0.011
Volume in Å³ per cell: 51
E_tot in eV per atom: -41.2090

Geometry as POSCAR:
```
TlCrMo
1.0
2.902 0.005 0.000
-1.269 2.610 0.000
-0.817 -1.308 6.713
Tl Mo Cr
1 1 1
direct
0.337 0.337 0.675 Tl
0.647 0.647 0.294 Mo
0.016 0.016 0.031 Cr
```

Record 4
VASP calculation (meta-GGA SCAN) on a crystal of CrMoW relaxed with PBEsol.

Calculated values
N(E_F) in states/eV/cell: 1.69
E_form in kJ/mol of formula units: 17.8
Energy above the most stable polymorph in this dataset in eV per atom: 0.000
Volume in Å³ per cell: 42
E_tot in eV per atom: -40.9243

Geometry as POSCAR:
```
CrMoW
1.0
3.048 0.000 0.000
0.000 3.048 0.000
-1.524 -1.524 4.556
Mo W Cr
1 1 1
direct
0.662 0.662 0.324 Mo
0.338 0.338 0.676 W
0.000 0.000 0.000 Cr
```

Record 5
VASP calculation (meta-GGA SCAN) on a crystal of CrMoW2 relaxed with PBEsol.

Calculated values
N(E_F) in states/eV/cell: 1.54
E_form in kJ/mol of formula units: 21.5
Energy above the most stable polymorph in this dataset in eV per atom: 0.021
Volume in Å³ per cell: 58
E_tot in eV per atom: -48.1058

Geometry as POSCAR:
```
CrMoW2
1.0
3.082 0.000 0.000
0.000 4.335 0.000
0.000 0.000 4.368
W Cr Mo
2 1 1
direct
0.500 0.000 0.500 W
0.000 0.000 0.000 W
0.500 0.500 0.000 Cr
0.000 0.500 0.500 Mo
```

Record 6
VASP calculation (meta-GGA SCAN) on a crystal of CrMoW2 relaxed with PBEsol.

Calculated values
N(E_F) in states/eV/cell: 2.16
E_form in kJ/mol of formula units: 28.5
Energy above the most stable polymorph in this dataset in eV per atom: 0.039
Volume in Å³ per cell: 58
E_tot in eV per atom: -48.0876

Geometry as POSCAR:
```
CrMoW2
1.0
-1.626 2.098 0.438
-3.438 -3.664 -0.782
2.513 -0.136 4.419
Cr W Mo
1 2 1
direct
0.500 0.000 0.000 Cr
0.000 0.500 0.000 W
0.000 0.000 0.500 W
0.500 0.500 0.500 Mo
```

Record 7
VASP calculation (meta-GGA SCAN) on a crystal of CrMo2W relaxed with PBEsol.

Calculated values
N(E_F) in states/eV/cell: 2.21
E_form in kJ/mol of formula units: 23.5
Energy above the most stable polymorph in this dataset in eV per atom: 0.015
Volume in Å³ per cell: 58
E_tot in eV per atom: -39.3999

Geometry as POSCAR:
```
CrMo2W
1.0
3.073 0.000 0.000
0.000 4.356 0.000
-1.536 -2.178 4.320
Mo Cr W
2 1 1
direct
0.002 0.502 0.005 Mo
0.251 0.251 0.501 Mo
0.750 0.750 0.500 Cr
0.497 0.997 0.994 W
```

Record 8
VASP calculation (meta-GGA SCAN) on a crystal of CrMo2W relaxed with PBEsol.

Calculated values
N(E_F) in states/eV/cell: 2.34
E_form in kJ/mol of formula units: 29.0
Energy above the most stable polymorph in this dataset in eV per atom: 0.030
Volume in Å³ per cell: 58
E_tot in eV per atom: -39.3855

Geometry as POSCAR:
```
CrMo2W
1.0
2.674 0.000 0.000
0.000 4.332 0.000
-0.892 0.000 4.997
Mo Cr W
2 1 1
direct
0.752 0.000 0.744 Mo
0.248 0.000 0.256 Mo
0.000 0.500 0.500 Cr
0.500 0.500 0.000 W
```

Record 9
VASP calculation (meta-GGA SCAN) on a crystal of CrMoW2 relaxed with PBEsol.

Calculated values
N(E_F) in states/eV/cell: 2.27
E_form in kJ/mol of formula units: 27.3
Energy above the most stable polymorph in this dataset in eV per atom: 0.036
Volume in Å³ per cell: 58
E_tot in eV per atom: -48.0908

Geometry as POSCAR:
```
CrMoW2
1.0
2.682 0.000 0.002
0.000 4.330 0.000
-0.866 0.000 5.029
Mo W Cr
1 2 1
direct
0.000 0.500 0.500 Mo
0.252 0.000 0.245 W
0.748 0.000 0.755 W
0.500 0.500 0.000 Cr
```

Record 10
VASP calculation (meta-GGA SCAN) on a crystal of CrMoW2 relaxed with PBEsol.

Calculated values
N(E_F) in states/eV/cell: 1.72
E_form in kJ/mol of formula units: 13.8
Energy above the most stable polymorph in this dataset in eV per atom: 0.001
Volume in Å³ per cell: 58
E_tot in eV per atom: -48.1258

Geometry as POSCAR:
```
CrMoW2
1.0
-4.083 -0.700 -1.308
-1.860 -3.870 0.663
-3.180 -0.408 2.931
W Mo Cr
2 1 1
direct
0.750 0.750 0.750 W
0.250 0.250 0.250 W
0.500 0.500 0.500 Mo
0.000 0.000 0.000 Cr
```

Record 11
VASP calculation (meta-GGA SCAN) on a crystal of CrMo2W relaxed with PBEsol.

Calculated values
N(E_F) in states/eV/cell: 2.12
E_form in kJ/mol of formula units: 22.7
Energy above the most stable polymorph in this dataset in eV per atom: 0.013
Volume in Å³ per cell: 58
E_tot in eV per atom: -39.4019

Geometry as POSCAR:
```
CrMo2W
1.0
-1.729 -1.067 2.304
-0.755 -3.629 -2.248
4.744 0.518 1.751
W Mo Cr
1 2 1
direct
0.000 0.500 0.000 W
0.247 0.247 0.494 Mo
0.753 0.753 0.506 Mo
0.500 0.000 0.000 Cr
```

Record 12
VASP calculation (meta-GGA SCAN) on a crystal of CrMoW2 relaxed with PBEsol.

Calculated values
N(E_F) in states/eV/cell: 2.12
E_form in kJ/mol of formula units: 22.9
Energy above the most stable polymorph in this dataset in eV per atom: 0.025
Volume in Å³ per cell: 58
E_tot in eV per atom: -48.1022

Geometry as POSCAR:
```
CrMoW2
1.0
3.083 0.000 0.000
0.000 4.380 0.000
-1.541 -2.190 4.321
W Mo Cr
2 1 1
direct
0.253 0.253 0.506 W
0.747 0.747 0.494 W
0.500 0.000 0.000 Mo
0.000 0.500 0.000 Cr
```

Record 13
VASP calculation (meta-GGA SCAN) on a crystal of CrMo2W relaxed with PBEsol.

Calculated values
N(E_F) in states/eV/cell: 1.60
E_form in kJ/mol of formula units: 17.6
Energy above the most stable polymorph in this dataset in eV per atom: 0.000
Volume in Å³ per cell: 58
E_tot in eV per atom: -39.4152

Geometry as POSCAR:
```
CrMo2W
1.0
4.336 0.000 0.000
2.168 3.755 0.000
2.168 1.252 3.540
Mo Cr W
2 1 1
direct
0.750 0.750 0.750 Mo
0.000 0.000 0.000 Mo
0.500 0.500 0.500 Cr
0.250 0.250 0.250 W
```

Record 14
VASP calculation (meta-GGA SCAN) on a crystal of CrMo2W relaxed with PBEsol.

Calculated values
N(E_F) in states/eV/cell: 2.14
E_form in kJ/mol of formula units: 18.5
Energy above the most stable polymorph in this dataset in eV per atom: 0.002
Volume in Å³ per cell: 58
E_tot in eV per atom: -39.4129

Geometry as POSCAR:
```
CrMo2W
1.0
-1.252 -2.782 -0.293
2.395 -0.900 -1.688
2.893 -1.837 5.084
Mo W Cr
2 1 1
direct
0.500 0.500 0.248 Mo
0.000 0.000 0.992 Mo
0.000 0.000 0.510 W
0.500 0.500 0.750 Cr
```

Record 15
VASP calculation (meta-GGA SCAN) on a crystal of CrMo2W relaxed with PBEsol.

Calculated values
N(E_F) in states/eV/cell: 2.34
E_form in kJ/mol of formula units: 29.8
Energy above the most stable polymorph in this dataset in eV per atom: 0.032
Volume in Å³ per cell: 58
E_tot in eV per atom: -39.3835

Geometry as POSCAR:
```
CrMo2W
1.0
-2.062 -1.154 -1.265
1.875 -3.986 2.503
-2.483 3.477 2.755
Cr Mo W
1 2 1
direct
0.000 0.500 0.000 Cr
0.500 0.500 0.500 Mo
0.000 0.000 0.500 Mo
0.500 0.000 0.000 W
```